Record 1
Entry from the Alexandria database: Pa2TaOs after structural relaxation (GGA-PBE).

```
Pa2TaOs
1.0
-0.509 -1.908 -2.295
-2.208 -2.062 0.207
-7.672 5.503 -4.869
Pa Os Ta
2 1 1
Cartesian
-4.572 -2.098 -3.233
-5.816 3.631 -3.725
-5.194 0.767 -3.479
0.000 0.000 0.000
```

Values from the calculation:
* formation energy from the elements: 377 meV per atom

Record 2
Entry from the Alexandria database: HfMg after structural relaxation (GGA-PBE).

```
HfMg
1.0
-2.058 0.259 4.166
0.342 -3.551 2.989
2.582 0.438 3.848
Mg Hf
1 1
Cartesian
0.649 -2.141 8.252
0.000 0.000 0.000
```

Values from the calculation:
* formation energy from the elements: 2160 meV per atom

Record 3
Entry from the Alexandria database: Pa2Ga4Pt3Rh after structural relaxation (GGA-PBE).

```
Pa2Ga4Pt3Rh
1.0
-3.615 -0.157 2.035
-1.920 -1.142 -3.500
1.779 -10.254 2.369
Pt Pa Ga Rh
3 2 4 1
Cartesian
-0.280 -8.881 3.051
-0.708 -2.022 -1.414
0.890 -5.127 1.185
0.366 -8.212 0.016
-1.354 -2.692 1.621
0.000 0.000 0.000
-2.768 -0.649 -0.732
-0.687 -6.538 2.510
-0.301 -4.365 -0.873
-1.878 -5.777 0.452
```

Values from the calculation:
* formation energy from the elements: -774 meV per atom

Record 4
Entry from the Alexandria database: SrInPt2 after structural relaxation (GGA-PBE).

```
SrInPt2
1.0
-3.239 -2.105 0.610
0.973 -2.357 -2.965
2.979 -3.494 3.755
Pt In Sr
2 1 1
Cartesian
2.835 -3.326 3.574
-0.312 -3.193 -0.143
1.303 -5.088 1.892
1.356 -1.590 1.709
```

Values from the calculation:
* formation energy from the elements: -374 meV per atom

Record 5
Entry from the Alexandria database: Ge2Pd5Se2 after structural relaxation (GGA-PBE).

```
Ge2Pd5Se2
1.0
4.664 0.000 0.000
-2.332 6.371 -2.006
0.000 -3.003 6.631
Se Pd Ge
2 5 2
Cartesian
2.332 4.196 -0.608
0.000 -0.827 5.233
0.000 4.912 -1.464
2.332 3.385 1.808
2.332 -1.543 6.089
0.000 0.000 0.000
0.000 -0.017 2.818
0.000 2.607 2.733
2.332 0.762 1.892
```

Values from the calculation:
* E_form (uncorrected): -243 meV per atom

Record 6
Entry from the Alexandria database: Ba2ZnGa5 after structural relaxation (GGA-PBE).

```
Ba2ZnGa5
1.0
7.010 -0.385 -0.548
-3.786 5.912 0.548
-3.786 -1.496 5.746
Ga Ba Zn
5 2 1
Cartesian
2.008 0.977 1.392
-3.647 3.684 1.940
-2.293 2.894 4.124
-3.647 0.571 4.124
-2.270 1.324 1.887
-0.082 3.752 1.408
-0.082 0.048 4.007
-0.363 0.212 0.302
```

Values from the calculation:
* formation energy from the elements: -252 meV per atom

Record 7
Entry from the Alexandria database: ThGe6 after structural relaxation (GGA-PBE).

```
ThGe6
1.0
6.063 0.000 0.000
-2.021 5.716 0.000
-2.021 -2.858 4.950
Ge Th
6 1
Cartesian
3.031 0.000 2.475
1.010 3.573 1.238
-1.010 2.858 2.475
-1.010 0.715 3.713
1.010 -0.715 3.713
3.031 2.144 1.238
0.000 0.000 0.000
```

Values from the calculation:
* formation energy from the elements: 368 meV per atom

Record 8
Entry from the Alexandria database: PmHg4 after structural relaxation (GGA-PBE).

```
PmHg4
1.0
4.722 0.000 -1.379
-0.745 6.126 -2.550
-0.009 -0.001 8.742
Hg Pm
8 2
Cartesian
3.139 1.210 1.973
0.215 2.152 0.736
1.989 3.063 -1.965
3.753 3.973 4.076
1.200 1.864 4.109
2.768 4.261 0.703
2.361 0.000 -0.690
0.829 4.915 2.839
-0.126 5.265 -0.430
4.094 0.860 5.242
```

Values from the calculation:
* formation energy from the elements: -286 meV per atom

Record 9
Entry from the Alexandria database: PrPuNbN4 after structural relaxation (GGA-PBE).

```
PrPuNbN4
1.0
-3.478 -0.936 -4.418
0.447 -5.655 0.846
-3.212 0.654 6.067
N Pu Nb Pr
8 2 2 2
Cartesian
-3.345 -0.141 0.824
-5.976 -1.718 1.391
-1.606 0.327 3.033
-3.122 -2.969 1.247
-3.857 -4.084 3.901
-1.383 -2.501 3.457
-0.267 -4.219 1.104
-2.386 -1.853 -1.406
-0.905 -1.376 1.004
-5.338 -4.561 1.491
-2.327 -4.141 2.709
-3.916 -1.796 -0.214
-3.732 -1.269 3.206
-2.511 -4.668 -0.711
```

Values from the calculation:
* E_form (uncorrected): -975 meV per atom

Record 10
Entry from the Alexandria database: CsFe2BiBr8 after structural relaxation (GGA-PBE).

```
CsFe2BiBr8
1.0
6.885 -0.413 0.288
2.810 6.300 0.288
0.826 0.501 10.592
Cs Br Fe Bi
1 8 2 1
Cartesian
0.413 0.251 5.296
3.804 4.549 2.428
5.791 1.277 2.428
4.731 5.111 8.740
6.717 1.839 8.740
3.528 2.142 6.479
7.225 4.387 0.499
6.993 4.246 4.689
3.297 2.002 10.669
6.112 3.711 2.565
4.409 2.677 8.603
0.000 0.000 0.000
```

Values from the calculation:
* E_form (uncorrected): -737 meV per atom

Record 11
Entry from the Alexandria database: RbCa2TmCl8 after structural relaxation (GGA-PBE).

```
RbCa2TmCl8
1.0
6.622 0.022 -0.005
0.071 6.412 -0.007
0.006 0.010 8.770
Cl Ca Rb Tm
8 2 1 1
Cartesian
5.484 1.502 1.805
1.212 4.936 1.804
5.488 1.508 6.955
1.215 4.942 6.954
4.597 4.726 -0.008
2.513 1.815 4.381
4.186 4.628 4.377
2.102 1.718 8.767
3.348 3.219 2.200
3.351 3.224 6.558
0.003 0.005 4.385
0.000 0.000 0.000
```

Values from the calculation:
* E_form (uncorrected): -2258 meV per atom

Record 12
Entry from the Alexandria database: Cs2PClF6 after structural relaxation (GGA-PBE).

```
Cs2PClF6
1.0
5.419 0.000 0.000
2.709 4.693 0.000
2.709 1.564 17.999
F Cs P Cl
12 4 2 2
Cartesian
6.970 2.233 17.051
4.259 2.459 8.053
6.579 3.798 9.946
5.419 4.468 8.053
5.419 1.789 9.946
3.867 4.024 0.949
4.259 3.798 9.946
6.970 4.024 0.949
3.867 2.233 17.051
6.579 2.459 8.053
5.419 4.920 17.051
5.419 1.337 0.949
8.128 4.693 15.335
2.709 1.564 2.665
8.128 4.693 6.313
2.709 1.564 11.687
5.419 3.128 9.000
0.000 0.000 0.000
5.419 3.128 13.527
5.419 3.128 4.472
```

Values from the calculation:
* E_form (uncorrected): -2617 meV per atom

Record 13
Entry from the Alexandria database: ScTcF3 after structural relaxation (GGA-PBE).

```
ScTcF3
1.0
4.214 0.000 0.000
0.000 4.214 0.000
0.000 0.000 4.214
F Sc Tc
3 1 1
Cartesian
0.000 0.000 2.107
0.000 2.107 0.000
2.107 0.000 0.000
2.107 2.107 2.107
0.000 0.000 0.000
```

Values from the calculation:
* E_form (uncorrected): -991 meV per atom

Record 14
Entry from the Alexandria database: Fe2HI2 after structural relaxation (GGA-PBE).

```
Fe2HI2
1.0
7.209 0.000 0.000
0.000 7.209 0.000
0.000 0.000 3.937
H I Fe
2 4 4
Cartesian
3.605 3.605 0.000
0.000 0.000 0.000
2.332 1.272 1.968
4.877 5.937 1.968
5.937 2.332 1.968
1.272 4.877 1.968
4.442 0.838 0.000
0.838 2.767 0.000
6.372 4.442 0.000
2.767 6.372 0.000
```

Values from the calculation:
* electronic total energy: -38.677 eV for the cell shown

Record 15
Entry from the Alexandria database: ReAuSe2 after structural relaxation (GGA-PBE).

```
ReAuSe2
1.0
-2.369 8.667 4.126
-4.738 8.404 2.161
-4.873 7.048 4.932
Se Re Au
2 1 1
Cartesian
-0.284 0.573 0.266
-2.817 5.670 2.638
-8.967 18.052 8.398
-5.902 11.883 5.528
```

Values from the calculation:
* E_form (uncorrected): 247 meV per atom

Record 16
Entry from the Alexandria database: Er4Sb2Pb after structural relaxation (GGA-PBE).

```
Er4Sb2Pb
1.0
8.176 -1.170 -0.165
-1.757 8.070 0.165
-3.089 -3.563 6.791
Er Sb Pb
8 4 2
Cartesian
4.424 1.471 4.609
0.352 2.042 5.558
3.916 -2.794 4.548
1.123 3.022 1.296
6.235 -0.213 2.019
-0.156 -2.224 5.496
2.018 -1.028 2.078
5.341 3.836 1.232
2.801 5.439 1.740
2.134 -0.376 5.051
3.679 1.404 1.656
-1.954 0.208 5.135
8.176 -1.170 -0.165
-0.818 3.979 3.478
```

Values from the calculation:
* E_form (uncorrected): -634 meV per atom

Record 17
Entry from the Alexandria database: Fe2CoRhSe6 after structural relaxation (GGA-PBE).

```
Fe2CoRhSe6
1.0
-2.864 5.301 -1.486
-7.544 -2.363 1.411
-0.371 3.181 7.364
Co Rh Fe Se
2 2 4 12
Cartesian
-7.620 -0.543 1.570
-3.158 6.663 5.719
-7.860 3.029 1.817
-2.919 3.090 5.472
-6.835 4.730 5.558
-6.657 1.110 5.260
-4.121 5.009 2.029
-3.944 1.389 1.731
-8.277 4.448 7.383
-2.502 1.671 -0.094
-2.933 5.098 3.964
-2.664 1.465 3.619
-7.846 1.021 3.325
-8.115 4.654 3.670
-5.396 2.999 5.482
-5.519 6.577 5.702
-7.972 0.926 7.190
-5.383 3.121 1.807
-5.260 -0.458 1.587
-2.807 5.193 0.099
```

Values from the calculation:
* E_form (uncorrected): -193 meV per atom

Record 18
Entry from the Alexandria database: Mn2Tl2InS6 after structural relaxation (GGA-PBE).

```
Mn2Tl2InS6
1.0
6.275 -0.030 0.113
-3.128 5.440 0.113
-1.053 -1.810 7.438
S Mn Tl In
6 2 2 1
Cartesian
-1.701 1.020 5.110
1.727 -0.975 5.110
0.367 4.574 2.555
0.641 1.101 2.474
3.795 2.580 2.555
1.453 2.498 5.190
-0.522 2.712 3.832
2.616 0.887 3.832
4.783 0.838 0.113
-1.636 4.572 0.113
-0.527 -0.905 3.719
```

Values from the calculation:
* E_form (uncorrected): -489 meV per atom

Record 19
Entry from the Alexandria database: Nd3TmH after structural relaxation (GGA-PBE).

```
Nd3TmH
1.0
-1.310 -3.355 -3.650
4.744 -1.944 0.084
-1.438 -3.355 3.601
Nd Tm H
3 1 1
Cartesian
2.372 -0.972 0.042
-0.655 -1.678 -1.825
-0.719 -1.678 1.800
0.998 -4.327 0.018
0.000 0.000 0.000
```

Values from the calculation:
* electronic total energy: -22.944 eV for the cell shown

Record 20
Entry from the Alexandria database: LiNb2HgH after structural relaxation (GGA-PBE).

```
LiNb2HgH
1.0
-3.224 0.657 -2.243
-0.368 -3.917 -0.618
-2.673 -0.340 3.743
Hg Li H Nb
1 1 1 2
Cartesian
-3.133 -1.800 0.441
-1.337 -0.170 1.872
0.000 0.000 0.000
-1.612 0.329 -1.121
-0.184 -1.958 -0.309
```

Values from the calculation:
* electronic total energy: -25.761 eV for the cell shown